Record 1
# GGA-PBE Rb3Zn, relaxed
# - density of states at the Fermi level (states/eV per atom) = 0.862
# - formation enthalpy at 0 K (meV/atom) = 166
# - spin magnetization (μB/atom) = 0.000
data_Rb3Zn
_chemical_formula_sum 'Rb3 Zn1'
_cell_length_a 4.8868
_cell_length_b 4.6342
_cell_length_c 12.4094
_cell_angle_alpha 90.00
_cell_angle_beta 90.00
_cell_angle_gamma 90.00
_symmetry_space_group_name_H-M 'P 1'
_symmetry_Int_Tables_number 1
_symmetry_space_group_name_Hall 'P 1'
loop_
_atom_site_label
_atom_site_fract_x
_atom_site_fract_y
_atom_site_fract_z
Zn1 0.0000 0.0000 0.9908
Rb1 0.5000 0.5000 0.1216
Rb2 0.5000 0.0000 0.7660
Rb3 0.0000 0.5000 0.4549


Record 2
# GGA-PBE RbZn4, relaxed
# - density of states at the Fermi level (states/eV per atom) = 0.752
# - formation enthalpy at 0 K (meV/atom) = 842
# - spin magnetization (μB/atom) = 0.000
data_RbZn4
_chemical_formula_sum 'Rb1 Zn4'
_cell_length_a 7.0667
_cell_length_b 7.0667
_cell_length_c 7.0667
_cell_angle_alpha 90.00
_cell_angle_beta 90.00
_cell_angle_gamma 90.00
_symmetry_space_group_name_H-M 'P 1'
_symmetry_Int_Tables_number 1
_symmetry_space_group_name_Hall 'P 1'
loop_
_atom_site_label
_atom_site_fract_x
_atom_site_fract_y
_atom_site_fract_z
Zn1 0.0000 0.5000 0.5000
Zn2 0.5000 0.0000 0.5000
Zn3 0.5000 0.5000 0.0000
Zn4 0.0000 0.0000 0.0000
Rb1 0.5000 0.5000 0.5000


Record 3
# GGA-PBE Rb3Zn, relaxed
# - density of states at the Fermi level (states/eV per atom) = 0.541
# - formation enthalpy at 0 K (meV/atom) = 125
# - spin magnetization (μB/atom) = 0.000
data_Rb3Zn
_chemical_formula_sum 'Rb3 Zn1'
_cell_length_a 4.9591
_cell_length_b 8.1610
_cell_length_c 8.1181
_cell_angle_alpha 120.18
_cell_angle_beta 107.78
_cell_angle_gamma 90.00
_symmetry_space_group_name_H-M 'P 1'
_symmetry_Int_Tables_number 1
_symmetry_space_group_name_Hall 'P 1'
loop_
_atom_site_label
_atom_site_fract_x
_atom_site_fract_y
_atom_site_fract_z
Rb1 0.3130 0.6824 0.6261
Rb2 0.5000 0.3827 0.0000
Rb3 0.6870 0.0563 0.3739
Zn1 0.0000 0.0451 0.0000


Record 4
# GGA-PBE Rb2Zn, relaxed
# - density of states at the Fermi level (states/eV per atom) = 0.776
# - formation enthalpy at 0 K (meV/atom) = 157
# - spin magnetization (μB/atom) = 0.000
data_Rb2Zn
_chemical_formula_sum 'Rb2 Zn1'
_cell_length_a 4.5375
_cell_length_b 4.5375
_cell_length_c 8.8422
_cell_angle_alpha 104.94
_cell_angle_beta 104.94
_cell_angle_gamma 89.92
_symmetry_space_group_name_H-M 'P 1'
_symmetry_Int_Tables_number 1
_symmetry_space_group_name_Hall 'P 1'
loop_
_atom_site_label
_atom_site_fract_x
_atom_site_fract_y
_atom_site_fract_z
Rb1 0.1312 0.1312 0.2623
Rb2 0.8688 0.8688 0.7377
Zn1 0.5000 0.5000 0.0000


Record 5
# GGA-PBE Rb3Zn, relaxed
# - density of states at the Fermi level (states/eV per atom) = 0.656
# - formation enthalpy at 0 K (meV/atom) = 178
# - spin magnetization (μB/atom) = 0.000
data_Rb3Zn
_chemical_formula_sum 'Rb3 Zn1'
_cell_length_a 7.5603
_cell_length_b 7.5603
_cell_length_c 7.5603
_cell_angle_alpha 129.65
_cell_angle_beta 129.65
_cell_angle_gamma 73.97
_symmetry_space_group_name_H-M 'P 1'
_symmetry_Int_Tables_number 1
_symmetry_space_group_name_Hall 'P 1'
loop_
_atom_site_label
_atom_site_fract_x
_atom_site_fract_y
_atom_site_fract_z
Rb1 0.2500 0.7500 0.5000
Rb2 0.7500 0.2500 0.5000
Rb3 0.5000 0.5000 0.0000
Zn1 0.0000 0.0000 0.0000


Record 6
# GGA-PBE RbZn2, relaxed
# - density of states at the Fermi level (states/eV per atom) = 0.471
# - formation enthalpy at 0 K (meV/atom) = 168
# - spin magnetization (μB/atom) = 0.000
data_RbZn2
_chemical_formula_sum 'Rb1 Zn2'
_cell_length_a 3.7308
_cell_length_b 3.7308
_cell_length_c 6.8205
_cell_angle_alpha 105.87
_cell_angle_beta 105.87
_cell_angle_gamma 90.00
_symmetry_space_group_name_H-M 'P 1'
_symmetry_Int_Tables_number 1
_symmetry_space_group_name_Hall 'P 1'
loop_
_atom_site_label
_atom_site_fract_x
_atom_site_fract_y
_atom_site_fract_z
Rb1 0.0000 0.0000 0.0000
Zn1 0.7233 0.7233 0.4466
Zn2 0.2767 0.2767 0.5534


Record 7
# GGA-PBE Rb3ZrZn, relaxed
# - density of states at the Fermi level (states/eV per atom) = 1.984
# - formation enthalpy at 0 K (meV/atom) = 1037
# - excess energy over the best structure of this formula in the dataset (kJ per mole of atoms) = 0.0
# - spin magnetization (μB/atom) = 0.705
data_Rb3ZrZn
_chemical_formula_sum 'Rb3 Zr1 Zn1'
_cell_length_a 6.6882
_cell_length_b 6.6882
_cell_length_c 6.6882
_cell_angle_alpha 90.00
_cell_angle_beta 90.00
_cell_angle_gamma 90.00
_symmetry_space_group_name_H-M 'P 1'
_symmetry_Int_Tables_number 1
_symmetry_space_group_name_Hall 'P 1'
loop_
_atom_site_label
_atom_site_fract_x
_atom_site_fract_y
_atom_site_fract_z
Rb1 0.0000 0.5000 0.0000
Rb2 0.5000 0.0000 0.0000
Rb3 0.0000 0.0000 0.5000
Zr1 0.5000 0.5000 0.5000
Zn1 0.0000 0.0000 0.0000


Record 8
# GGA-PBE RbZrZn, relaxed
# - density of states at the Fermi level (states/eV per atom) = 0.978
# - formation enthalpy at 0 K (meV/atom) = 186
# - excess energy over the best structure of this formula in the dataset (kJ per mole of atoms) = 5.2
# - spin magnetization (μB/atom) = 0.000
data_RbZrZn
_chemical_formula_sum 'Rb4 Zr4 Zn4'
_cell_length_a 3.5102
_cell_length_b 4.5283
_cell_length_c 26.6709
_cell_angle_alpha 90.00
_cell_angle_beta 97.26
_cell_angle_gamma 90.00
_symmetry_space_group_name_H-M 'P 1'
_symmetry_Int_Tables_number 1
_symmetry_space_group_name_Hall 'P 1'
loop_
_atom_site_label
_atom_site_fract_x
_atom_site_fract_y
_atom_site_fract_z
Rb1 0.4242 0.0000 0.4320
Rb2 0.7168 0.5000 0.2636
Rb3 0.7168 0.0000 0.7636
Rb4 0.4242 0.5000 0.9320
Zr1 0.0114 0.5000 0.5511
Zr2 0.6001 0.0000 0.1436
Zr3 0.6001 0.5000 0.6436
Zr4 0.0114 0.0000 0.0511
Zn1 0.0959 0.0000 0.6395
Zn2 0.0959 0.5000 0.1395
Zn3 0.5229 0.5000 0.0641
Zn4 0.5229 0.0000 0.5641


Record 9
# GGA-PBE RbZrZn, relaxed
# - density of states at the Fermi level (states/eV per atom) = 0.910
# - formation enthalpy at 0 K (meV/atom) = 132
# - excess energy over the best structure of this formula in the dataset (kJ per mole of atoms) = 0.0
# - spin magnetization (μB/atom) = 0.000
data_RbZrZn
_chemical_formula_sum 'Rb2 Zr2 Zn2'
_cell_length_a 3.5505
_cell_length_b 3.9276
_cell_length_c 14.0787
_cell_angle_alpha 89.22
_cell_angle_beta 83.50
_cell_angle_gamma 90.00
_symmetry_space_group_name_H-M 'P 1'
_symmetry_Int_Tables_number 1
_symmetry_space_group_name_Hall 'P 1'
loop_
_atom_site_label
_atom_site_fract_x
_atom_site_fract_y
_atom_site_fract_z
Zr1 0.2207 0.7467 0.0643
Zr2 0.7793 0.2533 0.9357
Rb1 0.9033 0.2665 0.6609
Rb2 0.0967 0.7335 0.3391
Zn1 0.6840 0.2424 0.1463
Zn2 0.3160 0.7576 0.8537


Record 10
# GGA-PBE RbZrZn, relaxed
# - density of states at the Fermi level (states/eV per atom) = 0.786
# - formation enthalpy at 0 K (meV/atom) = 431
# - excess energy over the best structure of this formula in the dataset (kJ per mole of atoms) = 28.9
# - spin magnetization (μB/atom) = 0.000
data_RbZrZn
_chemical_formula_sum 'Rb2 Zr2 Zn2'
_cell_length_a 4.9532
_cell_length_b 5.6503
_cell_length_c 7.3844
_cell_angle_alpha 103.03
_cell_angle_beta 90.55
_cell_angle_gamma 90.91
_symmetry_space_group_name_H-M 'P 1'
_symmetry_Int_Tables_number 1
_symmetry_space_group_name_Hall 'P 1'
loop_
_atom_site_label
_atom_site_fract_x
_atom_site_fract_y
_atom_site_fract_z
Zr1 0.2125 0.1237 0.9953
Zr2 0.7875 0.8763 0.0047
Zn1 0.2759 0.6138 0.9485
Zn2 0.7241 0.3862 0.0515
Rb1 0.2503 0.7232 0.4245
Rb2 0.7496 0.2768 0.5755